{"formula": "La3FeOs", "functional": "meta-GGA SCAN", "state": "PBEsol geometry", "space_group": "No. 221", "ef_ev_per_atom": 0.53, "lattice": [[-0.544, 1.830, 4.584], [-4.706, 1.197, -1.037], [-1.487, -4.458, 1.603]], "species": ["Os", "Fe", "La", "La", "La"], "fractional_positions": [[0.500, 0.500, 0.500], [0.000, 0.000, 0.000], [0.000, 0.500, 0.000], [0.000, 0.000, 0.500], [0.500, 0.000, 0.000]]}

---

{"formula": "La2FeOs", "functional": "meta-GGA SCAN", "state": "PBEsol geometry", "space_group": "No. 119", "ef_ev_per_atom": 0.38, "lattice": [[4.142, 0.000, 0.000], [0.000, 4.142, 0.000], [-2.071, -2.071, 4.832]], "species": ["Fe", "La", "La", "Os"], "fractional_positions": [[0.250, 0.750, 0.500], [0.000, 0.000, 0.000], [0.750, 0.250, 0.500], [0.500, 0.500, 0.000]]}

---

{"formula": "La2FeP", "functional": "meta-GGA SCAN", "state": "PBEsol geometry", "space_group": "No. 166", "ef_ev_per_atom": -0.49, "lattice": [[-0.874, -1.030, 3.804], [2.975, -0.726, 2.629], [0.729, 6.407, 4.043]], "species": ["Fe", "La", "La", "P"], "fractional_positions": [[0.000, 0.000, 0.000], [0.248, 0.248, 0.256], [0.752, 0.752, 0.744], [0.500, 0.500, 0.500]]}

---

{"formula": "La2FeP", "functional": "meta-GGA SCAN", "state": "PBEsol geometry", "space_group": "No. 119", "ef_ev_per_atom": -0.35, "lattice": [[4.163, 0.000, 0.000], [0.000, 4.163, 0.000], [-2.081, -2.081, 4.905]], "species": ["Fe", "La", "La", "P"], "fractional_positions": [[0.250, 0.750, 0.500], [0.000, 0.000, 0.000], [0.750, 0.250, 0.500], [0.500, 0.500, 0.000]]}

---

{"formula": "LaFeP", "functional": "meta-GGA SCAN", "state": "PBEsol geometry", "space_group": "No. 129", "ef_ev_per_atom": -0.95, "lattice": [[-1.787, -3.193, -0.982], [1.573, 0.178, -3.442], [6.336, -4.367, 2.670]], "species": ["P", "P", "Fe", "Fe", "La", "La"], "fractional_positions": [[0.500, 0.000, 0.139], [0.000, 0.500, 0.861], [0.000, 0.000, 0.000], [0.500, 0.500, 0.000], [0.500, 0.000, 0.704], [0.000, 0.500, 0.296]]}

---

{"formula": "LaFe4P", "functional": "meta-GGA SCAN", "state": "PBEsol geometry", "space_group": "No. 216", "ef_ev_per_atom": 0.16, "lattice": [[-2.940, -1.247, -3.810], [-4.590, -1.705, 0.857], [-3.945, 2.811, -1.119]], "species": ["Fe", "Fe", "Fe", "Fe", "La", "P"], "fractional_positions": [[0.375, 0.375, 0.375], [0.375, 0.375, 0.876], [0.876, 0.375, 0.375], [0.375, 0.876, 0.375], [0.750, 0.750, 0.750], [0.000, 0.000, 0.000]]}

---

{"formula": "La2FePb", "functional": "meta-GGA SCAN", "state": "PBEsol geometry", "space_group": "No. 38", "relative_energy_mev_per_atom": 45, "ef_ev_per_atom": -0.18, "lattice": [[-2.315, 1.192, -2.833], [-2.133, -4.492, -0.148], [-2.617, 3.873, 3.768]], "species": ["Fe", "La", "La", "Pb"], "fractional_positions": [[0.500, 0.512, 0.024], [0.000, 0.993, 0.986], [0.500, 0.316, 0.631], [0.000, 0.691, 0.382]]}

---

{"formula": "La3FePb", "functional": "meta-GGA SCAN", "state": "PBEsol geometry", "space_group": "No. 99", "ef_ev_per_atom": -0.42, "lattice": [[-1.251, -1.149, -4.874], [4.306, -2.867, -0.429], [-2.612, -4.170, 1.653]], "species": ["Pb", "Fe", "La", "La", "La"], "fractional_positions": [[0.097, 0.500, 0.500], [0.569, 0.000, 0.000], [0.600, 0.500, 0.000], [0.108, 0.000, 0.000], [0.600, 0.000, 0.500]]}

---

{"formula": "La2FePb", "functional": "meta-GGA SCAN", "state": "PBEsol geometry", "space_group": "No. 99", "relative_energy_mev_per_atom": 280, "ef_ev_per_atom": 0.05, "lattice": [[-3.291, 0.383, -0.935], [-0.489, -3.391, 0.335], [-2.247, 1.151, 8.376]], "species": ["Fe", "La", "La", "Pb"], "fractional_positions": [[0.500, 0.500, 0.277], [0.000, 0.000, 0.068], [0.500, 0.500, 0.714], [0.000, 0.000, 0.442]]}

---

{"formula": "La2FePb", "functional": "meta-GGA SCAN", "state": "PBEsol geometry", "space_group": "No. 139", "relative_energy_mev_per_atom": 0, "ef_ev_per_atom": -0.23, "lattice": [[-5.045, -1.597, -0.792], [3.664, -3.498, 1.722], [1.155, 3.253, 4.088]], "species": ["Fe", "La", "La", "Pb"], "fractional_positions": [[0.000, 0.500, 0.500], [0.500, 0.250, 0.750], [0.500, 0.750, 0.250], [0.000, 0.000, 0.000]]}

---

{"formula": "LaFePt", "functional": "meta-GGA SCAN", "state": "PBEsol geometry", "space_group": "No. 187", "ef_ev_per_atom": -0.66, "lattice": [[-3.500, -0.182, 2.328], [-1.543, -2.866, -2.544], [2.240, -1.139, 3.279]], "species": ["Fe", "La", "Pt"], "fractional_positions": [[0.500, 0.000, 0.000], [0.000, 0.667, 0.333], [0.500, 0.333, 0.667]]}

---

{"formula": "LaFePt", "functional": "meta-GGA SCAN", "state": "PBEsol geometry", "space_group": "No. 216", "ef_ev_per_atom": 0.34, "lattice": [[-4.184, 1.739, 0.932], [-2.759, -2.120, 3.048], [-0.831, 1.948, 4.112]], "species": ["Fe", "La", "Pt"], "fractional_positions": [[0.500, 0.500, 0.500], [0.250, 0.250, 0.250], [0.000, 0.000, 0.000]]}

---

{"formula": "LaFe3Re", "functional": "meta-GGA SCAN", "state": "PBEsol geometry", "space_group": "No. 221", "relative_energy_mev_per_atom": 1517, "ef_ev_per_atom": 2.31, "lattice": [[-2.378, -3.055, 1.908], [2.823, -3.001, -1.287], [2.238, 0.539, 3.651]], "species": ["Re", "Fe", "Fe", "Fe", "La"], "fractional_positions": [[0.500, 0.500, 0.500], [0.000, 0.500, 0.000], [0.000, 0.000, 0.500], [0.500, 0.000, 0.000], [0.000, 0.000, 0.000]]}

---

{"formula": "LaFe2Re", "functional": "meta-GGA SCAN", "state": "PBEsol geometry", "space_group": "No. 123", "relative_energy_mev_per_atom": 0, "ef_ev_per_atom": 0.46, "lattice": [[-1.646, -1.064, 2.193], [2.199, 0.494, 1.890], [-2.577, 6.609, 1.272]], "species": ["Fe", "Fe", "La", "Re"], "fractional_positions": [[0.000, 0.000, 0.686], [0.000, 0.000, 0.314], [0.500, 0.500, 0.000], [0.500, 0.500, 0.500]]}

---

{"formula": "LaFe2Re", "functional": "meta-GGA SCAN", "state": "PBEsol geometry", "space_group": "No. 71", "relative_energy_mev_per_atom": 199, "ef_ev_per_atom": 0.66, "lattice": [[-0.322, -1.430, -3.907], [-3.581, -2.574, -0.992], [-3.141, 1.875, -2.656]], "species": ["Fe", "Fe", "La", "Re"], "fractional_positions": [[0.277, 0.723, 0.723], [0.723, 0.277, 0.277], [0.500, 0.000, 0.000], [0.000, 0.500, 0.500]]}

---

{"formula": "LaFeRe", "functional": "meta-GGA SCAN", "state": "PBEsol geometry", "space_group": "No. 216", "ef_ev_per_atom": 1.85, "lattice": [[-2.296, 0.752, 3.656], [1.548, -1.342, 3.874], [1.433, 2.934, 2.923]], "species": ["Fe", "La", "Re"], "fractional_positions": [[0.500, 0.500, 0.500], [0.750, 0.750, 0.750], [0.000, 0.000, 0.000]]}

---

{"formula": "LaFeRe2", "functional": "meta-GGA SCAN", "state": "PBEsol geometry", "space_group": "No. 216", "ef_ev_per_atom": 0.59, "lattice": [[4.548, 0.000, 0.000], [2.274, 3.938, 0.000], [2.274, 1.313, 3.713]], "species": ["Fe", "La", "Re", "Re"], "fractional_positions": [[0.500, 0.500, 0.500], [0.250, 0.250, 0.250], [0.000, 0.000, 0.000], [0.750, 0.750, 0.750]]}

---

{"formula": "LaFe3Re", "functional": "meta-GGA SCAN", "state": "PBEsol geometry", "space_group": "No. 221", "relative_energy_mev_per_atom": 0, "ef_ev_per_atom": 0.79, "lattice": [[4.474, 0.000, 0.000], [0.000, 4.474, 0.000], [0.000, 0.000, 4.474]], "species": ["Re", "Fe", "Fe", "Fe", "La"], "fractional_positions": [[0.000, 0.000, 0.000], [0.000, 0.500, 0.000], [0.000, 0.000, 0.500], [0.500, 0.000, 0.000], [0.500, 0.500, 0.500]]}

---

{"formula": "LaFeRh2", "functional": "meta-GGA SCAN", "state": "PBEsol geometry", "space_group": "No. 123", "relative_energy_mev_per_atom": 0, "ef_ev_per_atom": -0.30, "lattice": [[3.082, 0.000, 0.000], [0.000, 3.083, 0.000], [0.000, 0.000, 7.051]], "species": ["Fe", "La", "Rh", "Rh"], "fractional_positions": [[0.500, 0.500, 0.000], [0.500, 0.500, 0.500], [0.000, 0.000, 0.805], [0.000, 0.000, 0.195]]}

---

{"formula": "LaFeRh2", "functional": "meta-GGA SCAN", "state": "PBEsol geometry", "space_group": "No. 99", "relative_energy_mev_per_atom": 275, "ef_ev_per_atom": -0.03, "lattice": [[3.230, 0.000, 0.000], [0.000, 3.230, 0.000], [0.000, 0.000, 6.607]], "species": ["Fe", "La", "Rh", "Rh"], "fractional_positions": [[0.000, 0.000, 0.417], [0.500, 0.500, 0.761], [0.000, 0.000, 0.040], [0.500, 0.500, 0.282]]}

---

{"formula": "La2FeRh", "functional": "meta-GGA SCAN", "state": "PBEsol geometry", "space_group": "No. 38", "relative_energy_mev_per_atom": 0, "ef_ev_per_atom": -0.28, "lattice": [[3.976, 0.000, 0.000], [0.000, 4.079, -0.135], [0.000, -1.854, 5.640]], "species": ["Fe", "La", "La", "Rh"], "fractional_positions": [[0.500, 0.320, 0.765], [0.000, 0.892, 0.910], [0.500, 0.608, 0.340], [0.000, 0.180, 0.485]]}

---

{"formula": "La2FeRh", "functional": "meta-GGA SCAN", "state": "PBEsol geometry", "space_group": "No. 225", "relative_energy_mev_per_atom": 131, "ef_ev_per_atom": -0.15, "lattice": [[4.950, 0.000, 0.000], [2.475, 4.289, 0.002], [2.475, 1.423, 4.046]], "species": ["Fe", "La", "La", "Rh"], "fractional_positions": [[0.000, 0.500, 0.500], [0.250, 0.750, 0.750], [0.750, 0.250, 0.250], [0.500, 0.000, 0.000]]}

---

{"formula": "LaFeRh", "functional": "meta-GGA SCAN", "state": "PBEsol geometry", "space_group": "No. 107", "ef_ev_per_atom": -0.09, "lattice": [[3.195, 0.000, 0.000], [0.000, 3.195, 0.000], [-1.597, -1.597, 5.428]], "species": ["Fe", "La", "Rh"], "fractional_positions": [[0.965, 0.965, 0.931], [0.668, 0.668, 0.337], [0.366, 0.366, 0.732]]}

---

{"formula": "LaFe2Rh", "functional": "meta-GGA SCAN", "state": "PBEsol geometry", "space_group": "No. 99", "ef_ev_per_atom": 0.04, "lattice": [[3.048, 0.000, 0.000], [0.000, 3.048, 0.000], [0.000, 0.000, 6.942]], "species": ["Fe", "Fe", "La", "Rh"], "fractional_positions": [[0.000, 0.000, 0.013], [0.500, 0.500, 0.183], [0.000, 0.000, 0.494], [0.500, 0.500, 0.810]]}

---

{"formula": "LaFeSi2Rh", "functional": "meta-GGA SCAN", "state": "PBEsol geometry", "space_group": "No. 119", "e_form_raw_ev_per_atom": -0.844, "lattice": [[4.059, 0.000, 0.000], [0.000, 4.059, 0.000], [-2.029, -2.029, 4.990]], "species": ["Si", "Si", "Rh", "Fe", "La"], "fractional_positions": [[0.366, 0.366, 0.731], [0.634, 0.634, 0.269], [0.250, 0.750, 0.500], [0.750, 0.250, 0.500], [0.000, 0.000, 0.000]]}

---

{"formula": "LaFe2Ru", "functional": "meta-GGA SCAN", "state": "PBEsol geometry", "space_group": "No. 99", "ef_ev_per_atom": 0.24, "lattice": [[3.000, 0.000, 0.000], [0.000, 3.000, 0.000], [0.000, 0.000, 7.076]], "species": ["Fe", "Fe", "La", "Ru"], "fractional_positions": [[0.500, 0.000, 0.006], [0.000, 0.500, 0.179], [0.500, 0.000, 0.492], [0.000, 0.500, 0.823]]}

---

{"formula": "LaFe2Ru", "functional": "meta-GGA SCAN", "state": "PBEsol geometry", "space_group": "No. 139", "ef_ev_per_atom": 0.36, "lattice": [[3.795, 0.000, 0.000], [0.000, 3.795, 0.000], [-1.898, -1.898, 4.518]], "species": ["Fe", "Fe", "La", "Ru"], "fractional_positions": [[0.750, 0.250, 0.500], [0.250, 0.750, 0.500], [0.500, 0.500, 0.000], [0.000, 0.000, 0.000]]}

---

{"formula": "LaFeRu", "functional": "meta-GGA SCAN", "state": "PBEsol geometry", "space_group": "No. 44", "ef_ev_per_atom": 0.30, "lattice": [[-1.563, -0.856, 2.230], [1.661, -3.160, -0.050], [3.559, 3.854, 2.148]], "species": ["Fe", "La", "Ru"], "fractional_positions": [[0.956, 0.956, 0.912], [0.664, 0.664, 0.328], [0.380, 0.380, 0.760]]}

---

{"formula": "LaFeRu", "functional": "meta-GGA SCAN", "state": "PBEsol geometry", "space_group": "No. 216", "ef_ev_per_atom": 0.37, "lattice": [[4.427, 0.000, 0.000], [2.214, 3.834, 0.000], [2.214, 1.278, 3.615]], "species": ["Fe", "La", "Ru"], "fractional_positions": [[0.000, 0.000, 0.000], [0.500, 0.500, 0.500], [0.250, 0.250, 0.250]]}

---

{"formula": "LaFe2Ru", "functional": "meta-GGA SCAN", "state": "PBEsol geometry", "space_group": "No. 44", "ef_ev_per_atom": 0.43, "lattice": [[3.104, 0.000, 0.000], [0.000, 4.668, 0.000], [-1.552, -2.334, 4.367]], "species": ["Fe", "Fe", "La", "Ru"], "fractional_positions": [[0.010, 0.010, 0.020], [0.727, 0.227, 0.455], [0.497, 0.497, 0.995], [0.265, 0.765, 0.530]]}

---

{"formula": "La3FeSb", "functional": "meta-GGA SCAN", "state": "PBEsol geometry", "space_group": "No. 221", "e_form_raw_ev_per_atom": -0.510, "lattice": [[5.143, 0.000, 0.000], [0.000, 5.143, 0.000], [0.000, 0.000, 5.143]], "species": ["Sb", "Fe", "La", "La", "La"], "fractional_positions": [[0.500, 0.500, 0.500], [0.000, 0.000, 0.000], [0.000, 0.500, 0.000], [0.000, 0.000, 0.500], [0.500, 0.000, 0.000]]}

---

We obtain total magnetization values of 0.0, 2.3, 1.2, 1.9, 0.0, 10.1, 0.4, 0.0, 2.4, 1.8, 2.4, 3.0, 5.1, 0.0, 4.7, 4.0, 2.3, 5.0, 4.2, 3.3, 1.7, 1.8, 3.3, 5.9, 0.0, 5.1, 6.8, 2.7, 3.0, 5.9, 0.0 μB/f.u. for the records listed above, in that order.